DFT (PBE-GGA) results for a relaxed structure of Tm2MgAg6.

a = 5.1652 Å, b = 8.6745 Å, c = 8.6745 Å
α = 72.92°, β = 82.17°, γ = 82.17°
Element x y z (fractional)
Tm (0.4205, 0.5375, 0.7917)
Tm (0.0795, 0.2083, 0.4625)
Tm (0.5795, 0.4625, 0.2083)
Tm (0.9205, 0.7917, 0.5375)
Mg (0.2500, 0.1290, 0.8710)
Mg (0.7500, 0.8710, 0.1290)
Ag (0.4725, 0.6868, 0.4234)
Ag (0.0275, 0.5766, 0.3132)
Ag (0.5275, 0.3132, 0.5766)
Ag (0.9725, 0.4234, 0.6868)
Ag (0.6327, 0.0961, 0.3419)
Ag (0.8673, 0.6581, 0.9039)
Ag (0.3673, 0.9039, 0.6581)
Ag (0.1327, 0.3419, 0.0961)
Ag (0.3072, 0.7780, 0.0087)
Ag (0.1928, 0.9913, 0.2220)
Ag (0.6928, 0.2220, 0.9913)
Ag (0.8072, 0.0087, 0.7780)

Output
The final energy comes out at -3.26 eV/atom. The calculation puts the formation energy at -193 meV/atom. Its space group is C2/c (15).



DFT (PBE-GGA) results for a relaxed structure of Nb3PdPt.

a = 4.8642 Å, b = 4.8642 Å, c = 4.8642 Å
α = 90.00°, β = 90.00°, γ = 90.00°
Element x y z (fractional)
Nb (0.0000, 0.5000, 0.0000)
Nb (0.0000, 0.0000, 0.5000)
Nb (0.5000, 0.0000, 0.0000)
Pd (0.5000, 0.5000, 0.5000)
Pt (0.0000, 0.0000, 0.0000)

Output
The final energy comes out at -7.21 eV/atom. The distance to the lowest polymorph of the same formula is 1.032 eV per atom. The calculation puts the formation energy at 1079 meV/atom. Its space group is Pm-3m (221).